Record 1
A geometry-optimized Er2NpTl3Se6 structure. Source: Alexandria via LeMat-Bulk, functional GGA-PBE.

The structure in CIF format:
```
data_Er2NpTl3Se6
_chemical_formula_sum 'Er2 Np1 Tl3 Se6'
_symmetry_space_group_name_H-M 'P 1'
_symmetry_Int_Tables_number 1
_cell_length_a 7.2446
_cell_length_b 7.2446
_cell_length_c 8.1378
_cell_angle_alpha 98.51
_cell_angle_beta 98.51
_cell_angle_gamma 119.89
loop_
_symmetry_equiv_pos_as_xyz
'x,y,z'
loop_
_atom_site_label
_atom_site_type_symbol
_atom_site_fract_x
_atom_site_fract_y
_atom_site_fract_z
Se1 Se 0.9319 0.5931 0.7965
Er1 Er 0.3339 0.6661 0.0000
Se2 Se 0.0681 0.4069 0.2035
Tl1 Tl 0.1662 0.8338 0.5000
Se3 Se 0.5931 0.9319 0.7965
Er2 Er 0.6661 0.3339 0.0000
Se4 Se 0.2710 0.2710 0.7968
Se5 Se 0.7290 0.7290 0.2032
Tl2 Tl 0.8338 0.1662 0.5000
Se6 Se 0.4069 0.0681 0.2035
Np1 Np 0.0000 0.0000 0.0000
Tl3 Tl 0.5000 0.5000 0.5000
```

Properties
Its energy relative to the elements, uncorrected is -1.2070 eV per atom. Its symmetry is C2/m, No. 12. The raw total energy comes out at -64.56 eV per formula unit. The density of states at the Fermi level is 0.62 states/eV/atom.

---

Record 2
A geometry-optimized DyEr4In2 structure. Source: Alexandria via LeMat-Bulk, functional GGA-PBE.

The structure in CIF format:
```
data_DyEr4In2
_chemical_formula_sum 'Dy2 Er8 In4'
_symmetry_space_group_name_H-M 'P 1'
_symmetry_Int_Tables_number 1
_cell_length_a 10.6079
_cell_length_b 6.7741
_cell_length_c 6.6824
_cell_angle_alpha 118.73
_cell_angle_beta 90.00
_cell_angle_gamma 90.00
loop_
_symmetry_equiv_pos_as_xyz
'x,y,z'
loop_
_atom_site_label
_atom_site_type_symbol
_atom_site_fract_x
_atom_site_fract_y
_atom_site_fract_z
Er1 Er 0.1693 0.5303 0.0717
Er2 Er 0.2391 0.0426 0.5919
In1 In 0.0125 0.2849 0.5312
In2 In 0.5125 0.2151 0.4688
In3 In 0.9875 0.7151 0.4688
Er3 Er 0.7609 0.9574 0.4081
In4 In 0.4875 0.7849 0.5312
Er4 Er 0.8307 0.4697 0.9283
Er5 Er 0.6693 0.9697 0.9283
Er6 Er 0.7391 0.4574 0.4081
Er7 Er 0.2609 0.5426 0.5919
Er8 Er 0.3307 0.0303 0.0717
Dy1 Dy 0.0000 0.0000 0.0000
Dy2 Dy 0.5000 0.5000 0.0000
```

Properties
The calculation puts the energy above the most stable polymorph in this dataset at 0 meV per atom. Its formation energy is -0.11 eV/atom. Its symmetry is P2_1/c, No. 14. The raw total energy comes out at -29.13 eV per formula unit. The density of states at the Fermi level is 0.85 states/eV/atom.

---

Record 3
A geometry-optimized PaFe11Si structure. Source: Alexandria via LeMat-Bulk, functional GGA-PBE.

The structure in CIF format:
```
data_PaFe11Si
_chemical_formula_sum 'Pa1 Fe11 Si1'
_symmetry_space_group_name_H-M 'P 1'
_symmetry_Int_Tables_number 1
_cell_length_a 4.6781
_cell_length_b 6.3566
_cell_length_c 6.3588
_cell_angle_alpha 82.14
_cell_angle_beta 68.42
_cell_angle_gamma 68.17
loop_
_symmetry_equiv_pos_as_xyz
'x,y,z'
loop_
_atom_site_label
_atom_site_type_symbol
_atom_site_fract_x
_atom_site_fract_y
_atom_site_fract_z
Fe1 Fe 0.2800 0.2233 0.2229
Si1 Si 0.5000 0.5000 0.0000
Fe2 Fe 0.6447 0.3596 0.3556
Fe3 Fe 0.0000 0.0000 0.5000
Fe4 Fe 0.5029 0.2233 0.7771
Fe5 Fe 0.5000 0.0000 0.5000
Fe6 Fe 0.4971 0.7767 0.2229
Fe7 Fe 0.7200 0.7767 0.7771
Fe8 Fe 0.3553 0.6404 0.6444
Fe9 Fe 0.0000 0.5000 0.0000
Pa1 Pa 0.0000 0.0000 0.0000
Fe10 Fe 0.0003 0.3596 0.6444
Fe11 Fe 0.9997 0.6404 0.3556
```

Properties
Its energy relative to the elements, uncorrected is -0.1436 eV per atom. Its symmetry is C2/m, No. 12. The raw total energy comes out at -109.88 eV per formula unit. The density of states at the Fermi level is 1.08 states/eV/atom.

---

Record 4
A geometry-optimized MgTa2CoAs structure. Source: Alexandria via LeMat-Bulk, functional GGA-PBE.

The structure in CIF format:
```
data_MgTa2CoAs
_chemical_formula_sum 'Mg1 Ta2 Co1 As1'
_symmetry_space_group_name_H-M 'P 1'
_symmetry_Int_Tables_number 1
_cell_length_a 4.7035
_cell_length_b 4.3117
_cell_length_c 4.7035
_cell_angle_alpha 90.00
_cell_angle_beta 90.00
_cell_angle_gamma 90.00
loop_
_symmetry_equiv_pos_as_xyz
'x,y,z'
loop_
_atom_site_label
_atom_site_type_symbol
_atom_site_fract_x
_atom_site_fract_y
_atom_site_fract_z
Co1 Co 0.0000 0.0000 0.0000
Mg1 Mg 0.5000 0.5000 0.5000
Ta1 Ta 0.0000 0.0000 0.5000
As1 As 0.0000 0.5000 0.0000
Ta2 Ta 0.5000 0.0000 0.0000
```

Properties
The calculation puts the energy above the most stable polymorph in this dataset at 0 meV per atom. Its formation energy is 0.65 eV/atom. Its symmetry is P4/mmm, No. 123. The raw total energy comes out at -33.81 eV per formula unit. The density of states at the Fermi level is 0.79 states/eV/atom.

---

Record 5
A geometry-optimized SrAg2Te2 structure. Source: Alexandria via LeMat-Bulk, functional GGA-PBE.

The structure in CIF format:
```
data_SrAg2Te2
_chemical_formula_sum 'Sr1 Ag2 Te2'
_symmetry_space_group_name_H-M 'P 1'
_symmetry_Int_Tables_number 1
_cell_length_a 4.3094
_cell_length_b 4.3094
_cell_length_c 8.1815
_cell_angle_alpha 74.73
_cell_angle_beta 74.73
_cell_angle_gamma 90.00
loop_
_symmetry_equiv_pos_as_xyz
'x,y,z'
loop_
_atom_site_label
_atom_site_type_symbol
_atom_site_fract_x
_atom_site_fract_y
_atom_site_fract_z
Ag1 Ag 0.7500 0.2500 0.5000
Ag2 Ag 0.2500 0.7500 0.5000
Te1 Te 0.6189 0.6189 0.7623
Te2 Te 0.3811 0.3811 0.2377
Sr1 Sr 0.0000 0.0000 0.0000
```

Properties
Its energy relative to the elements, uncorrected is -0.6710 eV per atom. Its symmetry is I4/mmm, No. 139. The raw total energy comes out at -17.02 eV per formula unit. The density of states at the Fermi level is 0.00 states/eV/atom.

---

Record 6
A geometry-optimized CaAcTm2 structure. Source: Alexandria via LeMat-Bulk, functional GGA-PBE.

The structure in CIF format:
```
data_CaAcTm2
_chemical_formula_sum 'Ca1 Ac1 Tm2'
_symmetry_space_group_name_H-M 'P 1'
_symmetry_Int_Tables_number 1
_cell_length_a 3.7071
_cell_length_b 3.7071
_cell_length_c 12.1972
_cell_angle_alpha 81.26
_cell_angle_beta 81.26
_cell_angle_gamma 60.00
loop_
_symmetry_equiv_pos_as_xyz
'x,y,z'
loop_
_atom_site_label
_atom_site_type_symbol
_atom_site_fract_x
_atom_site_fract_y
_atom_site_fract_z
Ac1 Ac 0.6663 0.6663 0.0011
Tm1 Tm 0.0822 0.0822 0.7535
Ca1 Ca 0.5003 0.5003 0.4990
Tm2 Tm 0.2512 0.2512 0.2465
```

Properties
The calculation puts the energy above the most stable polymorph in this dataset at 0 meV per atom. Its formation energy is 0.12 eV/atom. Its symmetry is R3m, No. 160. The raw total energy comes out at -14.58 eV per formula unit. The density of states at the Fermi level is 1.68 states/eV/atom.

---

Record 7
A geometry-optimized AsHOsPd structure. Source: Alexandria via LeMat-Bulk, functional GGA-PBE.

The structure in CIF format:
```
data_AsHOsPd
_chemical_formula_sum 'As2 H2 Os2 Pd2'
_symmetry_space_group_name_H-M 'P 1'
_symmetry_Int_Tables_number 1
_cell_length_a 2.9944
_cell_length_b 3.1537
_cell_length_c 10.7299
_cell_angle_alpha 90.00
_cell_angle_beta 90.06
_cell_angle_gamma 90.00
loop_
_symmetry_equiv_pos_as_xyz
'x,y,z'
loop_
_atom_site_label
_atom_site_type_symbol
_atom_site_fract_x
_atom_site_fract_y
_atom_site_fract_z
H1 H 0.3927 0.5000 0.8410
Os1 Os 0.8925 0.0000 0.2447
Pd1 Pd 0.8891 0.5000 0.4677
Pd2 Pd 0.8891 0.0000 0.9677
As1 As 0.3919 0.0000 0.6215
H2 H 0.3927 0.0000 0.3409
Os2 Os 0.8925 0.5000 0.7447
As2 As 0.3919 0.5000 0.1215
```

Properties
The calculation puts the energy above the most stable polymorph in this dataset at 71 meV per atom. Its symmetry is Cm, No. 8. The raw total energy comes out at -23.73 eV per formula unit. The density of states at the Fermi level is 0.27 states/eV/atom.

---

Record 8
A geometry-optimized PaZnCd structure. Source: Alexandria via LeMat-Bulk, functional GGA-PBE.

The structure in CIF format:
```
data_PaZnCd
_chemical_formula_sum 'Pa1 Zn1 Cd1'
_symmetry_space_group_name_H-M 'P 1'
_symmetry_Int_Tables_number 1
_cell_length_a 3.0855
_cell_length_b 4.9171
_cell_length_c 4.9171
_cell_angle_alpha 120.00
_cell_angle_beta 90.00
_cell_angle_gamma 90.00
loop_
_symmetry_equiv_pos_as_xyz
'x,y,z'
loop_
_atom_site_label
_atom_site_type_symbol
_atom_site_fract_x
_atom_site_fract_y
_atom_site_fract_z
Zn1 Zn 0.1666 0.0000 0.0000
Pa1 Pa 0.6666 0.6667 0.3333
Cd1 Cd 0.1668 0.3333 0.6667
```

Properties
The calculation puts the energy above the most stable polymorph in this dataset at 0 meV per atom. Its formation energy is 0.04 eV/atom. Its symmetry is P-6m2, No. 187. The raw total energy comes out at -11.58 eV per formula unit. The density of states at the Fermi level is 1.50 states/eV/atom.

---

Record 9
A geometry-optimized Tb6Y4Pu structure. Source: Alexandria via LeMat-Bulk, functional GGA-PBE.

The structure in CIF format:
```
data_Tb6Y4Pu
_chemical_formula_sum 'Tb12 Y8 Pu2'
_symmetry_space_group_name_H-M 'P 1'
_symmetry_Int_Tables_number 1
_cell_length_a 3.5398
_cell_length_b 11.7658
_cell_length_c 17.3027
_cell_angle_alpha 90.00
_cell_angle_beta 90.00
_cell_angle_gamma 98.65
loop_
_symmetry_equiv_pos_as_xyz
'x,y,z'
loop_
_atom_site_label
_atom_site_type_symbol
_atom_site_fract_x
_atom_site_fract_y
_atom_site_fract_z
Y1 Y 0.8698 0.7396 0.5520
Y2 Y 0.3814 0.7627 0.1413
Tb1 Tb 0.2446 0.4892 0.2500
Pu1 Pu 0.3785 0.7570 0.7500
Tb2 Tb 0.0101 0.0201 0.3394
Tb3 Tb 0.9899 0.9799 0.8394
Tb4 Tb 0.5000 0.0000 0.0000
Y3 Y 0.3814 0.7627 0.3587
Y4 Y 0.1302 0.2604 0.0520
Tb5 Tb 0.7554 0.5108 0.7500
Tb6 Tb 0.9899 0.9799 0.6606
Tb7 Tb 0.2404 0.4808 0.5822
Y5 Y 0.1302 0.2604 0.4480
Pu2 Pu 0.6215 0.2430 0.2500
Tb8 Tb 0.7596 0.5192 0.4178
Tb9 Tb 0.0101 0.0201 0.1606
Y6 Y 0.6186 0.2373 0.6413
Tb10 Tb 0.5000 0.0000 0.5000
Tb11 Tb 0.2404 0.4808 0.9178
Y7 Y 0.8698 0.7396 0.9480
Y8 Y 0.6186 0.2373 0.8587
Tb12 Tb 0.7596 0.5192 0.0822
```

Properties
Its formation energy is 0.16 eV/atom. Its symmetry is Cmcm, No. 63. The raw total energy comes out at -66.19 eV per formula unit. The density of states at the Fermi level is 1.83 states/eV/atom.

---

Record 10
A geometry-optimized CrRhBr2 structure. Source: Alexandria via LeMat-Bulk, functional GGA-PBE.

The structure in CIF format:
```
data_CrRhBr2
_chemical_formula_sum 'Cr1 Rh1 Br2'
_symmetry_space_group_name_H-M 'P 1'
_symmetry_Int_Tables_number 1
_cell_length_a 3.9213
_cell_length_b 4.8376
_cell_length_c 4.7736
_cell_angle_alpha 88.66
_cell_angle_beta 90.00
_cell_angle_gamma 90.00
loop_
_symmetry_equiv_pos_as_xyz
'x,y,z'
loop_
_atom_site_label
_atom_site_type_symbol
_atom_site_fract_x
_atom_site_fract_y
_atom_site_fract_z
Br1 Br 0.0000 0.5092 0.5092
Rh1 Rh 0.5000 0.7500 0.7500
Br2 Br 0.0000 0.9908 0.9908
Cr1 Cr 0.5000 0.2500 0.2500
```

Properties
The calculation puts the energy above the most stable polymorph in this dataset at 425 meV per atom. Its energy relative to the elements, uncorrected is 0.3547 eV per atom. Its symmetry is P2/m, No. 10. The raw total energy comes out at -18.90 eV per formula unit. The density of states at the Fermi level is 0.67 states/eV/atom.

---

Record 11
A geometry-optimized Pr2NdZn2Ag2 structure. Source: Alexandria via LeMat-Bulk, functional GGA-PBE.

The structure in CIF format:
```
data_Pr2NdZn2Ag2
_chemical_formula_sum 'Pr2 Nd1 Zn2 Ag2'
_symmetry_space_group_name_H-M 'P 1'
_symmetry_Int_Tables_number 1
_cell_length_a 4.7036
_cell_length_b 4.7036
_cell_length_c 9.6603
_cell_angle_alpha 75.91
_cell_angle_beta 75.91
_cell_angle_gamma 60.00
loop_
_symmetry_equiv_pos_as_xyz
'x,y,z'
loop_
_atom_site_label
_atom_site_type_symbol
_atom_site_fract_x
_atom_site_fract_y
_atom_site_fract_z
Nd1 Nd 0.0000 0.0000 0.0000
Ag1 Ag 0.6032 0.6032 0.1903
Pr1 Pr 0.8762 0.8762 0.3713
Zn1 Zn 0.7359 0.7359 0.7924
Pr2 Pr 0.1238 0.1238 0.6287
Zn2 Zn 0.2641 0.2641 0.2076
Ag2 Ag 0.3968 0.3968 0.8097
```

Properties
Its formation energy is -0.23 eV/atom. Its symmetry is R-3m, No. 166. The raw total energy comes out at -24.16 eV per formula unit. The density of states at the Fermi level is 0.92 states/eV/atom.

---

Record 12
A geometry-optimized TmCuAs2O8 structure. Source: Alexandria via LeMat-Bulk, functional GGA-PBE.

The structure in CIF format:
```
data_TmCuAs2O8
_chemical_formula_sum 'Tm1 Cu1 As2 O8'
_symmetry_space_group_name_H-M 'P 1'
_symmetry_Int_Tables_number 1
_cell_length_a 5.8252
_cell_length_b 5.8252
_cell_length_c 5.8252
_cell_angle_alpha 107.06
_cell_angle_beta 107.06
_cell_angle_gamma 114.42
loop_
_symmetry_equiv_pos_as_xyz
'x,y,z'
loop_
_atom_site_label
_atom_site_type_symbol
_atom_site_fract_x
_atom_site_fract_y
_atom_site_fract_z
Tm1 Tm 0.2500 0.7500 0.5000
O1 O 0.3198 0.5041 0.1843
As1 As 0.5000 0.5000 0.0000
O2 O 0.3198 0.1355 0.8157
O3 O 0.3801 0.0659 0.3142
Cu1 Cu 0.0000 0.0000 0.0000
O4 O 0.7517 0.0659 0.6858
O5 O 0.4959 0.6802 0.8157
O6 O 0.8645 0.6802 0.1843
O7 O 0.9341 0.2483 0.3142
O8 O 0.9341 0.6199 0.6858
As2 As 0.7500 0.2500 0.5000
```

Properties
Its energy relative to the elements, uncorrected is -1.4194 eV per atom. Its symmetry is I-4m2, No. 119. The raw total energy comes out at -74.57 eV per formula unit. The density of states at the Fermi level is 0.62 states/eV/atom.

---

- Look up the raw total energy of the seventh one.
  -23.73 eV per formula unit

---

- Which formula does entry 6 have?
  CaAcTm2